#i
Computed, not measured: an optimized crystal structure of PuNpRu at the GGA-PBE level of DFT.

Calculated values
- Total magnetic moment: 6.63 μB per cell

```
PuNpRu
1.0
3.197 0.000 0.000
-1.598 5.447 0.104
0.000 -1.876 6.605
Np Pu Ru
2 2 2
Cartesian
1.598 4.207 0.206
0.000 -0.636 6.503
0.000 2.490 4.747
1.598 1.081 1.962
0.000 3.636 2.226
1.598 -0.065 4.483
```



#ii
Computed, not measured: an optimized crystal structure of PuNpRu at the GGA-PBE level of DFT.

Calculated values
- Total magnetic moment: 2.07 μB per cell

```
PuNpRu
1.0
2.932 0.000 0.000
0.000 4.562 0.000
0.000 -2.281 3.951
Np Ru Pu
1 1 1
Cartesian
2.774 0.000 0.000
0.955 0.000 2.634
2.136 2.281 1.317
```



#iii
Computed, not measured: an optimized crystal structure of PuNpRu at the GGA-PBE level of DFT.

Calculated values
- Total magnetic moment: 7.39 μB per cell

```
PuNpRu
1.0
3.401 0.000 0.000
0.000 3.401 0.000
-1.700 -1.700 4.986
Np Ru Pu
1 1 1
Cartesian
0.000 0.000 0.064
1.700 1.700 1.592
0.000 0.000 3.330
```



Least stable = #i



#i
Computed, not measured: an optimized crystal structure of PuNpRu at the GGA-PBE level of DFT.

Calculated values
- Total magnetic moment: 7.39 μB per cell

```
PuNpRu
1.0
-3.730 -0.003 2.869
-1.949 -1.152 -2.556
2.654 -6.425 3.149
Np Ru Pu
2 2 2
Cartesian
-2.918 -0.604 1.368
-0.106 -6.976 2.094
-2.624 -2.932 2.197
-0.400 -4.649 1.265
-1.214 -4.614 4.161
-1.811 -2.967 -0.698
```



#ii
Computed, not measured: an optimized crystal structure of PuNpRu at the GGA-PBE level of DFT.

Calculated values
- Total magnetic moment: 1.67 μB per cell

```
PuNpRu
1.0
-0.648 -2.212 -3.620
3.324 -1.758 -2.065
0.498 -4.261 -0.030
Np Ru Pu
1 1 1
Cartesian
3.821 -6.018 -2.095
2.380 -6.173 -4.286
0.794 -2.058 -1.428
```



Least stable = #ii



#i
Computed, not measured: an optimized crystal structure of PuNpS3 at the GGA-PBE level of DFT.

Calculated values
- Total magnetic moment: 4.12 μB per cell

```
PuNpS3
1.0
7.351 0.000 0.000
0.000 6.713 0.000
0.000 0.000 9.884
S Np Pu
12 4 4
Cartesian
5.022 4.528 9.113
4.184 1.092 7.413
6.005 1.171 4.171
3.167 5.621 2.471
1.346 5.542 5.713
6.005 1.171 0.771
5.022 4.528 5.713
0.509 2.265 7.413
2.330 2.185 4.171
1.346 5.542 9.113
6.843 4.448 2.471
2.330 2.185 0.771
2.994 3.581 7.413
4.358 3.132 2.471
0.682 0.225 2.471
6.670 6.488 7.413
3.676 0.000 0.000
0.000 3.356 0.000
0.000 3.356 4.942
3.676 0.000 4.942
```



#ii
Computed, not measured: an optimized crystal structure of PuNpS3 at the GGA-PBE level of DFT.

Calculated values
- Total magnetic moment: 35.97 μB per cell

```
PuNpS3
1.0
3.933 0.000 0.000
0.000 7.325 0.000
0.000 0.000 14.870
S Pu Np
12 4 4
Cartesian
0.983 4.833 10.704
2.950 7.252 8.976
2.950 0.931 1.029
0.983 6.394 13.841
2.950 6.154 3.269
2.950 2.492 4.166
0.983 0.072 5.895
2.950 4.593 6.406
0.983 3.735 1.541
2.950 3.590 13.330
0.983 2.731 8.464
0.983 1.170 11.602
2.950 2.785 10.580
0.983 0.877 3.145
2.950 6.448 11.725
0.983 4.539 4.290
0.983 5.556 8.036
2.950 1.769 6.835
2.950 5.431 0.601
0.983 1.894 14.270
```



Least stable = #i



#i
Computed, not measured: an optimized crystal structure of PuNp2S6 at the GGA-PBE level of DFT.

Calculated values
- Total magnetic moment: 10.00 μB per cell

```
PuNp2S6
1.0
5.039 0.000 0.000
2.520 6.681 -0.598
2.520 2.055 6.832
S Pu Np
6 1 2
Cartesian
5.039 5.813 3.337
2.520 2.559 5.227
2.520 2.732 0.669
7.559 6.177 1.006
7.559 6.004 5.564
5.039 2.924 2.897
2.520 4.368 3.117
5.039 6.803 5.651
5.039 1.933 0.583
```



#ii
Computed, not measured: an optimized crystal structure of PuNp2S6 at the GGA-PBE level of DFT.

Calculated values
- Total magnetic moment: 10.00 μB per cell

```
PuNp2S6
1.0
-0.762 -3.809 2.364
5.975 0.259 2.344
-4.827 5.478 2.897
S Np Pu
6 2 1
Cartesian
4.082 -1.711 2.933
1.131 -1.839 1.775
-0.374 0.618 5.248
-3.336 0.489 4.086
3.722 1.439 3.520
0.759 1.311 2.357
-1.482 2.472 3.505
1.868 -0.544 4.100
0.000 0.000 0.000
```



Least stable = #i



#i
Computed, not measured: an optimized crystal structure of Pu2NpSb at the GGA-PBE level of DFT.

Calculated values
- Total magnetic moment: 15.93 μB per cell

```
Pu2NpSb
1.0
4.602 0.000 0.000
0.000 4.676 0.000
0.000 0.000 4.676
Sb Pu Np
1 2 1
Cartesian
2.301 0.000 0.000
0.000 0.000 2.338
0.000 2.338 0.000
2.301 2.338 2.338
```



#ii
Computed, not measured: an optimized crystal structure of Pu2NpSb at the GGA-PBE level of DFT.

Calculated values
- Total magnetic moment: 17.33 μB per cell

```
Pu2NpSb
1.0
5.275 0.000 0.000
2.637 4.568 0.000
2.637 1.523 4.307
Sb Np Pu
1 1 2
Cartesian
5.275 3.045 2.153
0.000 0.000 0.000
7.912 4.568 3.230
2.637 1.523 1.077
```



Least stable = #ii



#i
Computed, not measured: an optimized crystal structure of PuNp2Se4 at the GGA-PBE level of DFT.

Calculated values
- Total magnetic moment: 5.39 μB per cell

```
PuNp2Se4
1.0
4.046 0.000 0.000
-2.023 6.771 0.000
0.000 0.000 13.758
Pu Se Np
2 8 4
Cartesian
0.000 5.208 3.439
2.023 1.563 10.318
0.000 0.566 3.439
2.023 0.000 0.000
2.023 0.000 6.879
2.023 3.704 1.725
2.023 6.206 10.318
0.000 3.068 12.032
0.000 3.068 8.604
2.023 3.704 5.153
2.023 4.948 7.767
2.023 4.948 12.869
0.000 1.823 0.888
0.000 1.823 5.991
```



#ii
Computed, not measured: an optimized crystal structure of PuNp2Se4 at the GGA-PBE level of DFT.

Calculated values
- Total magnetic moment: 28.00 μB per cell

```
PuNp2Se4
1.0
-3.745 -5.882 2.892
7.400 -1.487 -0.001
-1.329 6.141 4.185
Np Se Pu
4 8 2
Cartesian
3.522 -1.631 1.246
0.072 0.338 4.061
-3.018 -2.263 4.623
4.075 1.100 4.223
5.689 0.229 1.941
-0.336 3.382 4.447
-2.210 0.440 5.893
3.183 -4.635 1.902
-0.184 -2.174 5.862
2.519 -1.566 3.995
1.989 0.973 1.941
-1.347 -1.560 2.324
0.559 -3.621 3.215
-3.745 -5.881 2.893
```



Least stable = #i



#i
Computed, not measured: an optimized crystal structure of PuNpTeSe at the GGA-PBE level of DFT.

Calculated values
- Total magnetic moment: 10.36 μB per cell

```
PuNpTeSe
1.0
4.268 0.000 0.000
2.134 3.696 0.000
2.134 1.232 6.979
Te Pu Se Np
1 1 1 1
Cartesian
6.402 3.696 5.219
6.402 3.696 0.162
2.134 1.232 1.759
4.268 2.464 3.329
```



#ii
Computed, not measured: an optimized crystal structure of PuNpTeSe at the GGA-PBE level of DFT.

Calculated values
- Total magnetic moment: 10.92 μB per cell

```
PuNpTeSe
1.0
-1.655 -4.869 0.831
1.540 -3.849 -3.155
3.321 -3.619 1.735
Se Te Np Pu
1 1 1 1
Cartesian
2.405 -9.253 -0.441
0.802 -3.084 -0.147
1.604 -6.169 -0.294
0.000 0.000 0.000
```



Least stable = #ii



#i
Computed, not measured: an optimized crystal structure of PuNpSi2 at the GGA-PBE level of DFT.

Calculated values
- Total magnetic moment: 9.16 μB per cell

```
PuNpSi2
1.0
-0.806 -0.510 -2.950
0.085 -3.058 0.505
-7.836 0.131 2.119
Si Np Pu
2 1 1
Cartesian
-5.895 0.098 1.594
-1.941 0.032 0.525
-0.360 -1.784 -1.223
-4.278 -1.718 -0.163
```



#ii
Computed, not measured: an optimized crystal structure of PuNpSi2 at the GGA-PBE level of DFT.

Calculated values
- Total magnetic moment: 9.61 μB per cell

```
PuNpSi2
1.0
-4.561 1.594 0.532
-3.629 -3.176 0.605
-2.215 -0.366 4.312
Si Pu Np
2 1 1
Cartesian
-7.804 -1.461 4.086
-2.601 -0.487 1.362
0.000 0.000 0.000
-5.203 -0.974 2.724
```



Least stable = #ii